Model w:
DFT (GGA-PBE) results for crystalline LiHfMn3 at its relaxed geometry.

Values from the calculation:
Mass density ... 7.959 g/cm3
DOS at the Fermi energy ... 0.75 states/eV/atom

Unit cell a=4.181 b=4.181 c=4.181 alpha=90.00 beta=90.00 gamma=90.00
Space group Pm-3m (No. 221)
Symmetry-distinct sites (fractional):
1 Li 0.000 0.000 0.000 [1 per cell]
2 Hf 0.500 0.500 0.500 [1 per cell]
3 Mn 0.000 0.000 0.500 [3 per cell]

=====

Model x:
DFT (GGA-PBE) results for crystalline LiHfMn3 at its relaxed geometry.

Values from the calculation:
Mass density ... 5.087 g/cm3
DOS at the Fermi energy ... 0.72 states/eV/atom

Unit cell a=4.854 b=4.854 c=4.854 alpha=90.00 beta=90.00 gamma=90.00
Space group Pm-3m (No. 221)
Symmetry-distinct sites (fractional):
1 Li 0.000 0.000 0.000 [1 per cell]
2 Hf 0.500 0.500 0.500 [1 per cell]
3 Mn 0.000 0.500 0.500 [3 per cell]

=====

Most stable to least stable: model w, model x

=====

Model w:
DFT (GGA-PBE) results for crystalline SrLiHf2Mn at its relaxed geometry.

Values from the calculation:
Mass density ... 7.268 g/cm3
DOS at the Fermi energy ... 1.50 states/eV/atom

Unit cell a=4.745 b=4.745 c=5.140 alpha=90.00 beta=90.00 gamma=90.00
Space group P4/mmm (No. 123)
Symmetry-distinct sites (fractional):
1 Sr 0.000 0.000 0.000 [1 per cell]
2 Li 0.000 0.000 0.500 [1 per cell]
3 Hf 0.000 0.500 0.500 [2 per cell]
4 Mn 0.500 0.500 0.000 [1 per cell]

=====

Model x:
DFT (GGA-PBE) results for crystalline SrLiHf2Mn at its relaxed geometry.

Values from the calculation:
Mass density ... 6.905 g/cm3
DOS at the Fermi energy ... 1.57 states/eV/atom

Unit cell a=5.237 b=5.237 c=4.441 alpha=90.00 beta=90.00 gamma=90.00
Space group P4/mmm (No. 123)
Symmetry-distinct sites (fractional):
1 Sr 0.000 0.000 0.000 [1 per cell]
2 Li 0.500 0.500 0.500 [1 per cell]
3 Hf 0.000 0.500 0.000 [2 per cell]
4 Mn 0.000 0.000 0.500 [1 per cell]

=====

Most stable to least stable: model w, model x

=====

Model w:
DFT (GGA-PBE) results for crystalline LiHfMo3 at its relaxed geometry.

Values from the calculation:
Mass density ... 9.580 g/cm3
DOS at the Fermi energy ... 1.32 states/eV/atom

Unit cell a=4.345 b=4.345 c=4.345 alpha=90.00 beta=90.00 gamma=90.00
Space group Pm-3m (No. 221)
Symmetry-distinct sites (fractional):
1 Li 0.000 0.000 0.000 [1 per cell]
2 Hf 0.500 0.500 0.500 [1 per cell]
3 Mo 0.000 0.000 0.500 [3 per cell]

=====

Model x:
DFT (GGA-PBE) results for crystalline LiHfMo3 at its relaxed geometry.

Values from the calculation:
Mass density ... 6.951 g/cm3
DOS at the Fermi energy ... 1.01 states/eV/atom

Unit cell a=4.835 b=4.835 c=4.835 alpha=90.00 beta=90.00 gamma=90.00
Space group Pm-3m (No. 221)
Symmetry-distinct sites (fractional):
1 Li 0.000 0.000 0.000 [1 per cell]
2 Hf 0.500 0.500 0.500 [1 per cell]
3 Mo 0.000 0.500 0.500 [3 per cell]

=====

Most stable to least stable: model w, model x

=====

Model w:
DFT (GGA-PBE) results for crystalline Li2HfMo at its relaxed geometry.

Values from the calculation:
Mass density ... 6.382 g/cm3
DOS at the Fermi energy ... 0.82 states/eV/atom

Unit cell a=3.728 b=3.728 c=21.595 alpha=90.00 beta=90.00 gamma=90.00
Space group I-42d (No. 122)
Symmetry-distinct sites (fractional):
1 Li 0.229 0.250 0.125 [8 per cell]
2 Hf 0.000 0.000 0.500 [4 per cell]
3 Mo 0.000 0.000 0.000 [4 per cell]

=====

Model x:
DFT (GGA-PBE) results for crystalline Li2HfMo at its relaxed geometry.

Values from the calculation:
Mass density ... 7.747 g/cm3
DOS at the Fermi energy ... 0.99 states/eV/atom

Unit cell a=6.276 b=6.276 c=6.276 alpha=90.00 beta=90.00 gamma=90.00
Space group Fm-3m (No. 225)
Symmetry-distinct sites (fractional):
1 Li 0.250 0.250 0.250 [8 per cell]
2 Hf 0.000 0.000 0.000 [4 per cell]
3 Mo 0.000 0.000 0.500 [4 per cell]

=====

Most stable to least stable: model w, model x

=====

Model w:
DFT (GGA-PBE) results for crystalline LiHf2Mo at its relaxed geometry.

Values from the calculation:
Mass density ... 10.545 g/cm3
DOS at the Fermi energy ... 0.75 states/eV/atom

Unit cell a=6.617 b=6.617 c=6.617 alpha=90.00 beta=90.00 gamma=90.00
Space group Fm-3m (No. 225)
Symmetry-distinct sites (fractional):
1 Li 0.000 0.000 0.000 [4 per cell]
2 Hf 0.250 0.250 0.250 [8 per cell]
3 Mo 0.000 0.000 0.500 [4 per cell]

=====

Model x:
DFT (GGA-PBE) results for crystalline LiHf2Mo at its relaxed geometry.

Values from the calculation:
Mass density ... 10.041 g/cm3
DOS at the Fermi energy ... 1.00 states/eV/atom

Unit cell a=3.376 b=3.376 c=6.671 alpha=90.00 beta=90.00 gamma=90.00
Space group P4/mmm (No. 123)
Symmetry-distinct sites (fractional):
1 Li 0.000 0.000 0.000 [1 per cell]
2 Hf 0.500 0.500 0.271 [2 per cell]
3 Mo 0.000 0.000 0.500 [1 per cell]

=====

Most stable to least stable: model w, model x

=====

Model w:
DFT (GGA-PBE) results for crystalline LiHfN2 at its relaxed geometry.

Values from the calculation:
Mass density ... 6.210 g/cm3
DOS at the Fermi energy ... 0.68 states/eV/atom

Unit cell a=4.780 b=4.780 c=9.992 alpha=90.00 beta=90.00 gamma=90.00
Space group I-42d (No. 122)
Symmetry-distinct sites (fractional):
1 Li 0.000 0.000 0.000 [4 per cell]
2 Hf 0.000 0.000 0.500 [4 per cell]
3 N 0.228 0.250 0.625 [8 per cell]

=====

Model x:
DFT (GGA-PBE) results for crystalline LiHfN2 at its relaxed geometry.

Values from the calculation:
Mass density ... 6.377 g/cm3
DOS at the Fermi energy ... 0.56 states/eV/atom

Unit cell a=3.3055 b=3.3055 c=17.6225 alpha=90.00 beta=90.00 gamma=120.00
Space group R-3m (No. 166, hexagonal axes)
Symmetry-distinct sites (fractional):
1 Li 0.0000 0.0000 0.0000 [3 per cell]
2 Hf 0.0000 0.0000 0.5000 [3 per cell]
3 N 0.0000 0.0000 0.1067 [6 per cell]

=====

Model y:
DFT (GGA-PBE) results for crystalline LiHfN2 at its relaxed geometry.

Values from the calculation:
Mass density ... 7.534 g/cm3
DOS at the Fermi energy ... 0.60 states/eV/atom

Unit cell a=3.2198 b=3.2198 c=15.7197 alpha=90.00 beta=90.00 gamma=120.00
Space group R3m (No. 160, hexagonal axes)
Symmetry-distinct sites (fractional):
1 Li 0.0000 0.0000 0.0000 [3 per cell]
2 Hf 0.0000 0.0000 0.1794 [3 per cell]
3 N 0.0000 0.0000 0.5860 [3 per cell]
4 N 0.0000 0.0000 0.7738 [3 per cell]

=====

Model z:
DFT (GGA-PBE) results for crystalline LiHfN2 at its relaxed geometry.

Values from the calculation:
Mass density ... 9.297 g/cm3
DOS at the Fermi energy ... 0.71 states/eV/atom

Unit cell a=5.343 b=5.343 c=5.343 alpha=90.00 beta=90.00 gamma=90.00
Space group Fm-3m (No. 225)
Symmetry-distinct sites (fractional):
1 Li 0.000 0.000 0.000 [4 per cell]
2 Hf 0.000 0.000 0.500 [4 per cell]
3 N 0.250 0.250 0.250 [8 per cell]

=====

Most stable to least stable: model y, model x, model w, model z

=====

Model w:
DFT (GGA-PBE) results for crystalline LiHfS2N at its relaxed geometry.

Values from the calculation:
Mass density ... 4.161 g/cm3
DOS at the Fermi energy ... 0.39 states/eV/atom

Unit cell a=5.008 b=5.008 c=4.194 alpha=90.00 beta=90.00 gamma=90.00
Space group P4/mmm (No. 123)
Symmetry-distinct sites (fractional):
1 Li 0.000 0.000 0.000 [1 per cell]
2 Hf 0.500 0.500 0.500 [1 per cell]
3 S 0.000 0.500 0.500 [2 per cell]
4 N 0.500 0.500 0.000 [1 per cell]

=====

Model x:
DFT (GGA-PBE) results for crystalline LiHfS2N at its relaxed geometry.

Values from the calculation:
Mass density ... 6.288 g/cm3
DOS at the Fermi energy ... 0.72 states/eV/atom

Unit cell a=4.428 b=4.428 c=3.549 alpha=90.00 beta=90.00 gamma=90.00
Space group P4/mmm (No. 123)
Symmetry-distinct sites (fractional):
1 Li 0.000 0.000 0.000 [1 per cell]
2 Hf 0.500 0.500 0.500 [1 per cell]
3 S 0.000 0.500 0.000 [2 per cell]
4 N 0.000 0.000 0.500 [1 per cell]

=====

Most stable to least stable: model w, model x

=====

Model w:
DFT (GGA-PBE) results for crystalline LiHfSe2N at its relaxed geometry.

Values from the calculation:
Mass density ... 5.142 g/cm3
DOS at the Fermi energy ... 0.33 states/eV/atom

Unit cell a=5.266 b=5.266 c=4.161 alpha=90.00 beta=90.00 gamma=90.00
Space group P4/mmm (No. 123)
Symmetry-distinct sites (fractional):
1 Li 0.000 0.000 0.000 [1 per cell]
2 Hf 0.500 0.500 0.500 [1 per cell]
3 Se 0.000 0.500 0.500 [2 per cell]
4 N 0.500 0.500 0.000 [1 per cell]

=====

Model x:
DFT (GGA-PBE) results for crystalline LiHfSe2N at its relaxed geometry.

Values from the calculation:
Mass density ... 7.542 g/cm3
DOS at the Fermi energy ... 0.70 states/eV/atom

Unit cell a=4.683 b=4.683 c=3.588 alpha=90.00 beta=90.00 gamma=90.00
Space group P4/mmm (No. 123)
Symmetry-distinct sites (fractional):
1 Li 0.000 0.000 0.000 [1 per cell]
2 Hf 0.500 0.500 0.500 [1 per cell]
3 Se 0.000 0.500 0.000 [2 per cell]
4 N 0.000 0.000 0.500 [1 per cell]

=====

Most stable to least stable: model w, model x

=====

Model w:
DFT (GGA-PBE) results for crystalline LiHfSeN2 at its relaxed geometry.

Values from the calculation:
Mass density ... 5.129 g/cm3
DOS at the Fermi energy ... 0.52 states/eV/atom

Unit cell a=4.200 b=4.200 c=5.366 alpha=90.00 beta=90.00 gamma=90.00
Space group P4/mmm (No. 123)
Symmetry-distinct sites (fractional):
1 Li 0.000 0.000 0.000 [1 per cell]
2 Hf 0.500 0.500 0.500 [1 per cell]
3 Se 0.500 0.500 0.000 [1 per cell]
4 N 0.000 0.500 0.500 [2 per cell]

=====

Model x:
DFT (GGA-PBE) results for crystalline LiHfSeN2 at its relaxed geometry.

Values from the calculation:
Mass density ... 7.221 g/cm3
DOS at the Fermi energy ... 0.64 states/eV/atom

Unit cell a=3.708 b=3.708 c=4.892 alpha=90.00 beta=90.00 gamma=90.00
Space group P4/mmm (No. 123)
Symmetry-distinct sites (fractional):
1 Li 0.000 0.000 0.000 [1 per cell]
2 Hf 0.000 0.000 0.500 [1 per cell]
3 Se 0.500 0.500 0.500 [1 per cell]
4 N 0.000 0.500 0.000 [2 per cell]

=====

Model y:
DFT (GGA-PBE) results for crystalline LiHfSeN2 at its relaxed geometry.

Values from the calculation:
Mass density ... 7.762 g/cm3
DOS at the Fermi energy ... 0.41 states/eV/atom

Unit cell a=3.814 b=3.814 c=4.300 alpha=90.00 beta=90.00 gamma=90.00
Space group P4/mmm (No. 123)
Symmetry-distinct sites (fractional):
1 Li 0.000 0.000 0.000 [1 per cell]
2 Hf 0.500 0.500 0.500 [1 per cell]
3 Se 0.000 0.000 0.500 [1 per cell]
4 N 0.000 0.500 0.000 [2 per cell]

=====

Most stable to least stable: model w, model y, model x

=====

Model w:
DFT (GGA-PBE) results for crystalline LiHfTe2N at its relaxed geometry.

Values from the calculation:
Mass density ... 7.846 g/cm3
DOS at the Fermi energy ... 0.88 states/eV/atom

Unit cell a=5.147 b=5.147 c=3.632 alpha=90.00 beta=90.00 gamma=90.00
Space group P4/mmm (No. 123)
Symmetry-distinct sites (fractional):
1 Li 0.000 0.000 0.000 [1 per cell]
2 Hf 0.500 0.500 0.500 [1 per cell]
3 Te 0.000 0.500 0.000 [2 per cell]
4 N 0.000 0.000 0.500 [1 per cell]

=====

Model x:
DFT (GGA-PBE) results for crystalline LiHfTe2N at its relaxed geometry.

Values from the calculation:
Mass density ... 5.600 g/cm3
DOS at the Fermi energy ... 0.81 states/eV/atom

Unit cell a=5.844 b=5.844 c=3.948 alpha=90.00 beta=90.00 gamma=90.00
Space group P4/mmm (No. 123)
Symmetry-distinct sites (fractional):
1 Li 0.000 0.000 0.000 [1 per cell]
2 Hf 0.500 0.500 0.500 [1 per cell]
3 Te 0.000 0.500 0.500 [2 per cell]
4 N 0.500 0.500 0.000 [1 per cell]

=====

Most stable to least stable: model x, model w

=====

Model w:
DFT (GGA-PBE) results for crystalline Na2Li2Hf at its relaxed geometry.

Values from the calculation:
Mass density ... 3.389 g/cm3
DOS at the Fermi energy ... 0.68 states/eV/atom

Unit cell a=8.870 b=8.870 c=2.968 alpha=90.00 beta=90.00 gamma=90.00
Space group P4/mbm (No. 127)
Symmetry-distinct sites (fractional):
1 Na 0.145 0.355 0.000 [4 per cell]
2 Li 0.162 0.662 0.500 [4 per cell]
3 Hf 0.000 0.000 0.500 [2 per cell]

=====

Model x:
DFT (GGA-PBE) results for crystalline Na2Li2Hf at its relaxed geometry.

Values from the calculation:
Mass density ... 3.450 g/cm3
DOS at the Fermi energy ... 0.87 states/eV/atom

Unit cell a=3.971 b=3.971 c=14.550 alpha=90.00 beta=90.00 gamma=90.00
Space group I4/mmm (No. 139)
Symmetry-distinct sites (fractional):
1 Na 0.000 0.500 0.250 [4 per cell]
2 Li 0.000 0.000 0.089 [4 per cell]
3 Hf 0.000 0.000 0.500 [2 per cell]

=====

Most stable to least stable: model w, model x

=====

Model w:
DFT (GGA-PBE) results for crystalline NaLi2Hf at its relaxed geometry.

Values from the calculation:
Mass density ... 4.119 g/cm3
DOS at the Fermi energy ... 1.45 states/eV/atom

Unit cell a=7.029 b=7.029 c=7.029 alpha=90.00 beta=90.00 gamma=90.00
Space group Fm-3m (No. 225)
Symmetry-distinct sites (fractional):
1 Na 0.000 0.000 0.000 [4 per cell]
2 Li 0.250 0.250 0.250 [8 per cell]
3 Hf 0.000 0.000 0.500 [4 per cell]

=====

Model x:
DFT (GGA-PBE) results for crystalline NaLi2Hf at its relaxed geometry.

Values from the calculation:
Mass density ... 4.142 g/cm3
DOS at the Fermi energy ... 0.88 states/eV/atom

Unit cell a=7.475 b=7.475 c=6.180 alpha=90.00 beta=90.00 gamma=90.00
Space group I-42d (No. 122)
Symmetry-distinct sites (fractional):
1 Na 0.000 0.000 0.000 [4 per cell]
2 Li 0.230 0.750 0.125 [8 per cell]
3 Hf 0.000 0.000 0.500 [4 per cell]

=====

Most stable to least stable: model w, model x